Here is crystalline TaMn3O at its relaxed geometry from the Alexandria database. Energies are from GGA+U.

Properties
The value obtained for the total magnetization is 10.24 μB/cell. For the energy, the calculation gives -5.958 eV/atom. The space group is No. 221.

POSCAR file:
```
TaMn3O
1.0
5.115 0.000 0.000
0.000 5.115 0.000
0.000 0.000 5.115
Ta Mn O
1 3 1
Cartesian
0.000 0.000 0.000
0.000 0.000 2.557
0.000 2.557 0.000
2.557 0.000 0.000
2.557 2.557 2.557
```